(1)
DFT (PBE) results for crystalline LiMgFeMo2 at its relaxed geometry.

Calculated values
Its magnetic moment is 0.00 μB/atom. For the energy relative to the elements, the calculation gives 622 kJ/mol of formula units.

Structure (extended XYZ):
```
5
Lattice="4.296 0.000 0.000 0.000 4.000 0.000 0.000 0.000 4.296" Properties=species:S:1:pos:R:3 pbc="T T T"
Mg 2.148 2.000 2.148
Mo 2.148 0.000 0.000
Mo 0.000 0.000 2.148
Li 0.000 0.000 0.000
Fe 0.000 2.000 0.000
```



(2)
DFT (PBE) results for crystalline LiMgFe2N at its relaxed geometry.

Calculated values
Its magnetic moment is 0.32 μB/atom. For the formation energy from raw total energies, the calculation gives -157.6 meV per atom.

Structure (extended XYZ):
```
5
Lattice="-0.689 0.237 3.625 -3.629 -0.225 -0.675 0.198 -4.115 0.307" Properties=species:S:1:pos:R:3 pbc="T T T"
Mg -2.060 -2.051 1.629
N 0.000 0.000 0.000
Fe -1.814 -0.112 -0.338
Fe -0.345 0.119 1.813
Li 0.099 -2.058 0.153
```



(3)
DFT (PBE) results for crystalline LiMgFeN2 at its relaxed geometry.

Calculated values
Its magnetic moment is 0.70 μB/atom. For the formation energy from raw total energies, the calculation gives 1515.6 meV per atom.

Structure (extended XYZ):
```
5
Lattice="3.990 0.000 0.000 0.000 4.643 0.000 0.000 0.000 3.990" Properties=species:S:1:pos:R:3 pbc="T T T"
Mg 0.000 0.000 0.000
Li 1.995 2.321 1.995
Fe 0.000 2.321 0.000
N 0.000 0.000 1.995
N 1.995 0.000 0.000
```



What is the magnetic moment in the third record?
0.70 μB/atom



magnetic moment of number 2 (LiMgFe2N)?
0.32 μB/atom



Which value of magnetic moment does entry 1 give?
0.00 μB/atom



The highest magnetic moment belongs to which entry?
LiMgFeN2